(1)
A geometry-optimized NpBr4F structure, computed with PBE.

DFT total energy = -5.105 eV per atom
Crystal system = tetragonal
Size of the total moment = 2.0 μB/f.u.
Raw formation energy = -9.12 eV per formula unit

Cell and atoms, written as extended XYZ:
```
6
Lattice="4.257 0.000 1.404 2.129 7.208 0.702 -0.129 0.000 7.547" Properties=species:S:1:pos:R:3 pbc="T T T"
Np 4.012 0.000 1.323
Br 3.303 1.362 3.474
Br 1.458 4.943 1.914
Br 4.310 2.265 7.578
Br 2.464 5.846 6.018
F 1.883 0.000 0.621
```

=====

(2)
A geometry-optimized NpBr3F structure, computed with PBE.

DFT total energy = -5.695 eV per atom
Crystal system = orthorhombic
Size of the total moment = 3.0 μB/f.u.
Raw formation energy = -8.64 eV per formula unit

Cell and atoms, written as extended XYZ:
```
10
Lattice="-5.343 4.317 -2.719 3.869 -3.379 -5.310 -3.021 -5.323 4.137" Properties=species:S:1:pos:R:3 pbc="T T T"
Np -0.833 -1.915 -2.979
Np -3.208 -2.759 1.563
Br 1.589 -3.416 -3.414
Br -1.772 -5.246 1.194
Br -2.204 0.530 -2.257
Br -0.573 -2.259 -0.243
Br -1.696 -4.679 -2.958
Br -3.951 -2.107 -3.810
F -3.876 -2.569 -0.330
F -0.879 -1.651 -4.977
```

=====

(3)
A geometry-optimized RbNpBr2F8 structure, computed with PBE.

DFT total energy = -4.918 eV per atom
Crystal system = trigonal
Size of the total moment = 2.0 μB/f.u.
Raw formation energy = -26.79 eV per formula unit

Cell and atoms, written as extended XYZ:
```
12
Lattice="6.782 0.000 0.000 -3.391 5.874 0.000 0.000 0.000 7.585" Properties=species:S:1:pos:R:3 pbc="T T T"
Rb 0.000 0.000 3.793
Np 0.000 0.000 0.000
Br 3.391 1.958 1.044
Br 0.000 3.916 6.541
F 3.391 4.248 6.283
F 1.407 0.813 6.283
F 5.375 0.813 6.283
F 0.000 1.625 1.302
F 1.984 5.061 1.302
F -1.984 5.061 1.302
F 3.391 1.958 2.851
F 0.000 3.916 4.734
```

=====

(4)
A geometry-optimized Rb2NpBr3F3 structure, computed with PBE.

DFT total energy = -5.107 eV per atom
Crystal system = hexagonal
Size of the total moment = 3.0 μB/f.u.
Raw formation energy = -20.46 eV per formula unit

Cell and atoms, written as extended XYZ:
```
9
Lattice="-3.508 -0.929 1.011 0.899 -7.635 -3.894 2.157 0.886 8.296" Properties=species:S:1:pos:R:3 pbc="T T T"
Rb -0.016 -2.419 4.738
Rb -0.436 -5.259 0.675
Np 0.000 0.000 0.000
Br 0.750 0.308 2.884
Br 1.994 -4.402 2.871
Br 0.313 -2.654 -1.354
F -1.006 -6.811 -2.732
F -1.238 -1.603 1.248
F 0.039 0.272 7.402
```

=====

(5)
A geometry-optimized Rb2NpBr4F2 structure, computed with PBE.

DFT total energy = -4.915 eV per atom
Crystal system = monoclinic
Size of the total moment = 3.0 μB/f.u.
Raw formation energy = -18.92 eV per formula unit

Cell and atoms, written as extended XYZ:
```
9
Lattice="6.022 -0.070 -0.047 1.271 7.247 0.026 1.271 2.685 6.731" Properties=species:S:1:pos:R:3 pbc="T T T"
Rb 2.769 6.649 4.524
Rb 5.796 3.214 2.186
Np 3.011 -0.035 -0.024
Br 2.789 5.040 1.021
Br 5.776 7.062 2.397
Br 5.776 4.822 5.689
Br 2.789 2.800 4.313
F 1.729 1.318 0.897
F 6.836 8.544 5.813
```

=====

(6)
A geometry-optimized NpTl2Br2F4 structure, computed with PBE.

DFT total energy = -5.362 eV per atom
Crystal system = tetragonal
Size of the total moment = 3.0 μB/f.u.
Raw formation energy = -19.76 eV per formula unit

Cell and atoms, written as extended XYZ:
```
9
Lattice="-4.043 1.829 5.622 1.027 -6.802 -1.994 7.149 0.431 0.056" Properties=species:S:1:pos:R:3 pbc="T T T"
Np 0.000 0.000 0.000
Tl 0.536 -4.080 1.330
Tl 3.597 -0.463 2.355
Br 5.934 -4.624 -1.406
Br 2.242 -1.747 -0.531
F 2.356 -5.233 -1.549
F 4.114 -3.954 1.665
F 5.821 -1.139 -0.389
F 0.020 -0.589 2.020
```

=====

Look up the size of the total moment of the sixth one. 3.0 μB/f.u.

=====

What is the formula in the fourth record? Rb2NpBr3F3